Model w:
DFT (PBE) results for an optimized crystal structure of TiP3I.

Its volume is 110.61 Å³ per cell.

The structure belongs to space group Pm-3m (No. 221); the cell edges are 4.800, 4.800 and 4.800 Å and the angles 90.00°, 90.00° and 90.00°. The distinct sites, in fractional coordinates, are Ti at (0.000, 0.000, 0.000), P at (0.000, 0.000, 0.500) and I at (0.500, 0.500, 0.500).


Model x:
DFT (PBE) results for an optimized crystal structure of TiP3I.

Its volume is 123.48 Å³ per cell.

The structure belongs to space group Pm-3m (No. 221); the cell edges are 4.980, 4.980 and 4.980 Å and the angles 90.00°, 90.00° and 90.00°. The distinct sites, in fractional coordinates, are Ti at (0.000, 0.000, 0.000), P at (0.000, 0.500, 0.500) and I at (0.500, 0.500, 0.500).


Relative energies in meV per atom: model w 0; model x 1202


Model w:
DFT (PBE) results for an optimized crystal structure of Tl2PI.

Its volume is 587.97 Å³ per cell.

The structure belongs to space group I-42d (No. 122); the cell edges are 7.862, 7.862 and 9.512 Å and the angles 90.00°, 90.00° and 90.00°. The distinct sites, in fractional coordinates, are Tl at (0.184, 0.250, 0.125), P at (0.000, 0.000, 0.000) and I at (0.000, 0.000, 0.500).


Model x:
DFT (PBE) results for an optimized crystal structure of Tl2PI.

Its volume is 475.61 Å³ per cell.

The structure belongs to space group Fm-3m (No. 225); the cell edges are 7.806, 7.806 and 7.806 Å and the angles 90.00°, 90.00° and 90.00°. The distinct sites, in fractional coordinates, are Tl at (0.250, 0.250, 0.250), P at (0.000, 0.000, 0.000) and I at (0.000, 0.000, 0.500).


Relative energies in meV per atom: model w 0; model x 182